Entry 1:
VASP calculation (PBE-GGA) on La5Al4Ag after structural relaxation.

POSCAR file:
```
La5Al4Ag
1.0
3.7796 0.0000 0.0000
0.0000 3.7796 0.0000
0.0000 0.0000 19.2869
La Al Ag
5 4 1
Direct
0.0000 0.0000 0.0000
0.0000 0.0000 0.1976
0.0000 0.0000 0.3947
0.0000 0.0000 0.6053
0.0000 0.0000 0.8024
0.5000 0.5000 0.0986
0.5000 0.5000 0.2981
0.5000 0.5000 0.7019
0.5000 0.5000 0.9014
0.5000 0.5000 0.5000
```

Calculated values
Energy relative to the elements in eV/atom: -0.341
Space group: P4/mmm (123)

Entry 2:
VASP calculation (PBE-GGA) on Tl2CrRh after structural relaxation.

POSCAR file:
```
Tl2CrRh
1.0
4.4391 0.0000 0.0000
0.0000 4.4391 0.0000
0.0000 0.0000 3.9143
Tl Cr Rh
2 1 1
Direct
0.0000 0.5000 0.0000
0.5000 0.0000 0.0000
0.0000 0.0000 0.5000
0.5000 0.5000 0.5000
```

Calculated values
E above lowest polymorph in eV per atom: 0.0996
Energy relative to the elements in eV/atom: 0.389
Space group: P4/mmm (123)

Entry 3:
VASP calculation (PBE-GGA) on BaPm2In after structural relaxation.

POSCAR file:
```
BaPm2In
1.0
3.7726 0.0000 0.0000
0.0000 3.7726 0.0000
0.0000 0.0000 10.2955
Ba Pm In
1 2 1
Direct
0.0000 0.0000 0.0000
0.5000 0.5000 0.3056
0.5000 0.5000 0.6944
0.0000 0.0000 0.5000
```

Calculated values
E above lowest polymorph in eV per atom: 0.0000
Energy relative to the elements in eV/atom: -0.118
Space group: P4/mmm (123)

Entry 4:
VASP calculation (PBE-GGA) on Y2Cd3Ni2 after structural relaxation.

POSCAR file:
```
Y2Cd3Ni2
1.0
10.0941 0.0000 0.0000
0.0000 3.9413 0.0000
-0.8973 0.0000 7.3204
Y Cd Ni
4 6 4
Direct
0.1241 0.0000 0.3592
0.3759 0.5000 0.6408
0.6241 0.5000 0.3592
0.8759 0.0000 0.6408
0.0000 0.5000 0.0000
0.1890 0.0000 0.8553
0.3110 0.5000 0.1447
0.5000 0.0000 0.0000
0.6890 0.5000 0.8553
0.8110 0.0000 0.1447
0.0815 0.5000 0.6344
0.4185 0.0000 0.3656
0.5815 0.0000 0.6344
0.9185 0.5000 0.3656
```

Calculated values
E above lowest polymorph in eV per atom: 0.0250
Energy relative to the elements in eV/atom: -0.332
Space group: C2/m (12)

Entry 5:
VASP calculation (PBE-GGA) on Zr2FeTc2 after structural relaxation.

POSCAR file:
```
Zr2FeTc2
1.0
6.4741 0.0000 0.0000
0.0000 6.4741 0.0000
0.0000 0.0000 4.2694
Zr Fe Tc
4 2 4
Direct
0.1799 0.3201 0.0000
0.3201 0.8201 0.0000
0.6799 0.1799 0.0000
0.8201 0.6799 0.0000
0.0000 0.0000 0.5000
0.5000 0.5000 0.5000
0.1361 0.6361 0.5000
0.3639 0.1361 0.5000
0.6361 0.8639 0.5000
0.8639 0.3639 0.5000
```

Calculated values
Energy relative to the elements in eV/atom: 0.009
Space group: P4/mbm (127)

Entry 6:
VASP calculation (PBE-GGA) on Ag2HNO after structural relaxation.

POSCAR file:
```
Ag2HNO
1.0
4.6158 0.0000 0.0000
0.0000 4.6158 0.0000
0.0000 0.0000 2.6086
Ag H N O
2 1 1 1
Direct
0.0000 0.5000 0.0000
0.5000 0.0000 0.0000
0.0000 0.0000 0.5000
0.5000 0.5000 0.5000
0.0000 0.0000 0.0000
```

Calculated values
E in eV per atom: -3.738
Space group: P4/mmm (123)

Entry 7:
VASP calculation (PBE-GGA) on LiAg after structural relaxation.

POSCAR file:
```
LiAg
1.0
4.4612 0.0000 0.0000
-2.2306 3.8635 0.0000
0.0000 0.0000 8.0270
Li Ag
4 4
Direct
0.0000 0.0000 0.2500
0.0000 0.0000 0.7500
0.3333 0.6667 0.2500
0.6667 0.3333 0.7500
0.3333 0.6667 0.5785
0.3333 0.6667 0.9215
0.6667 0.3333 0.0785
0.6667 0.3333 0.4215
```

Calculated values
Energy relative to the elements in eV/atom: -0.107
Space group: P6_3/mmc (194)

Entry 8:
VASP calculation (PBE-GGA) on Ti3SnPd2 after structural relaxation.

POSCAR file:
```
Ti3SnPd2
1.0
-4.2306 5.2875 2.4584
4.2306 -5.2875 2.4584
4.2306 5.2875 -2.4584
Ti Sn Pd
6 2 4
Direct
0.0000 0.2030 0.2030
0.0000 0.7970 0.7970
0.5000 0.0000 0.0000
0.5000 0.2030 0.7030
0.5000 0.5000 0.5000
0.5000 0.7970 0.2970
0.1072 0.8572 0.2500
0.8928 0.1428 0.7500
0.2282 0.6153 0.6130
0.4977 0.3847 0.1130
0.5023 0.6153 0.8870
0.7718 0.3847 0.3870
```

Calculated values
Energy relative to the elements in eV/atom: -0.121
Space group: Imma (74)

Entry 9:
VASP calculation (PBE-GGA) on BiHAuIN after structural relaxation.

POSCAR file:
```
BiHAuIN
1.0
4.0341 0.0000 0.0000
-1.7846 3.6527 0.0000
-1.4202 -1.6088 7.9613
Bi H Au I N
1 1 1 1 1
Direct
0.0000 0.0000 0.0000
0.5623 0.2569 0.8125
0.1844 0.1664 0.3398
0.7763 0.7880 0.5601
0.6307 0.3137 0.9429
```

Calculated values
E above lowest polymorph in eV per atom: 0.0727
Space group: P1 (1)

Entry 10:
VASP calculation (PBE-GGA) on SrCuRh after structural relaxation.

POSCAR file:
```
SrCuRh
1.0
6.5143 0.0000 0.0000
0.0000 6.5143 0.0000
0.0000 0.0000 6.5143
Sr Cu Rh
4 4 4
Direct
0.0000 0.0000 0.0000
0.0000 0.5000 0.5000
0.5000 0.0000 0.5000
0.5000 0.5000 0.0000
0.0000 0.0000 0.5000
0.0000 0.5000 0.0000
0.5000 0.0000 0.0000
0.5000 0.5000 0.5000
0.2500 0.2500 0.7500
0.2500 0.7500 0.2500
0.7500 0.2500 0.2500
0.7500 0.7500 0.7500
```

Calculated values
E above lowest polymorph in eV per atom: 0.4540
Energy relative to the elements in eV/atom: 0.251
Space group: F-43m (216)

Entry 11:
VASP calculation (PBE-GGA) on Pm3PrTm6 after structural relaxation.

POSCAR file:
```
Pm3PrTm6
1.0
5.5311 -9.4639 0.0000
5.5311 9.4639 0.0000
0.0000 0.0000 6.2000
Pm Pr Tm
6 2 12
Direct
0.1070 0.8930 0.5000
0.2163 0.4335 0.8960
0.4335 0.2163 0.3960
0.5665 0.7837 0.8960
0.7837 0.5665 0.3960
0.8930 0.1070 0.0000
0.2926 0.7074 0.5880
0.7074 0.2926 0.0880
0.0415 0.4658 0.3013
0.1163 0.2144 0.4617
0.2144 0.1163 0.9617
0.2140 0.7860 0.0726
0.4536 0.5464 0.3477
0.4658 0.0415 0.8013
0.5342 0.9585 0.3013
0.5464 0.4536 0.8477
0.7860 0.2140 0.5726
0.7856 0.8837 0.4617
0.8837 0.7856 0.9617
0.9585 0.5342 0.8013
```

Calculated values
E above lowest polymorph in eV per atom: 0.0000
Energy relative to the elements in eV/atom: 0.150
Space group: Cmc2_1 (36)

Entry 12:
VASP calculation (PBE-GGA) on YTcW4 after structural relaxation.

POSCAR file:
```
YTcW4
1.0
0.0000 3.7976 3.7976
3.7976 0.0000 3.7976
3.7976 3.7976 0.0000
Y Tc W
1 1 4
Direct
0.0000 0.0000 0.0000
0.7500 0.7500 0.7500
0.3751 0.3751 0.3751
0.3751 0.3751 0.8748
0.3751 0.8748 0.3751
0.8748 0.3751 0.3751
```

Calculated values
Energy relative to the elements in eV/atom: 0.333
Space group: F-43m (216)

| no. | density (g/cm³) |
| --- | --- |
| 1 | 5.49 |
| 2 | 12.13 |
| 3 | 6.14 |
| 4 | 7.21 |
| 5 | 8.06 |
| 6 | 7.37 |
| 7 | 5.51 |
| 8 | 7.17 |
| 9 | 7.75 |
| 10 | 6.10 |
| 11 | 8.13 |
| 12 | 13.98 |